Compound: PrNdLuAl
Source: the Alexandria database
Functional: GGA-PBE
Structure: relaxed

Summary:
Size of the total moment (μB per formula unit): 0.0
Mass density (kg/m³): 7089
Raw total energy (eV/cell): -18.11
Energy relative to the elements (meV/atom): -76

Cell and atoms, written as CIF:
```
data_PrNdLuAl
_space_group_name_H-M_alt 'P 1'
_space_group_IT_number 1
_cell_length_a 5.444
_cell_length_b 5.444
_cell_length_c 5.444
_cell_angle_alpha 60.00
_cell_angle_beta 60.00
_cell_angle_gamma 60.00
loop_
_space_group_symop_operation_xyz
'x,y,z'
loop_
_atom_site_label
_atom_site_type_symbol
_atom_site_fract_x
_atom_site_fract_y
_atom_site_fract_z
Pr1 Pr 0.000 0.000 0.000
Nd1 Nd 0.500 0.500 0.500
Lu1 Lu 0.250 0.250 0.250
Al1 Al 0.750 0.750 0.750
```